(1)
The following is a DFT calculation (GGA-PBE) of LaY2Sc after structural relaxation. Values from VASP.

```
&SYSTEM
  ibrav = 0, nat = 4, ntyp = 3
/
ATOMIC_SPECIES
La 138.91 La.upf
Y 88.91 Y.upf
Sc 44.96 Sc.upf
CELL_PARAMETERS angstrom
6.060 0.004 0.000
-1.995 5.722 0.000
0.000 0.000 3.570
ATOMIC_POSITIONS crystal
La 0.500 0.000 0.500
Y 0.000 0.000 0.000
Y 0.500 0.500 0.000
Sc 0.000 0.500 0.500
```

Output
* formation energy from the elements: 0.05 eV/atom
* polymorph energy (0 for the lowest one): 0.08 eV per formula unit

=====

(2)
The following is a DFT calculation (GGA-PBE) of Tb6SnOs2 after structural relaxation. Values from VASP.

```
&SYSTEM
  ibrav = 0, nat = 18, ntyp = 3
/
ATOMIC_SPECIES
Os 190.23 Os.upf
Tb 158.93 Tb.upf
Sn 118.71 Sn.upf
CELL_PARAMETERS angstrom
-1.853 8.212 -1.459
-3.254 -5.186 -5.959
-3.431 -2.733 7.331
ATOMIC_POSITIONS crystal
Os 0.671 0.000 0.671
Os 0.500 0.621 0.121
Os 0.500 0.379 0.879
Os 0.329 0.000 0.329
Tb 0.208 0.241 0.450
Tb 0.313 0.645 0.331
Tb 0.466 0.282 0.184
Tb 0.792 0.241 0.033
Tb 0.687 0.018 0.331
Tb 0.687 0.355 0.669
Tb 0.208 0.759 0.967
Tb 0.792 0.759 0.550
Tb 0.313 0.982 0.669
Tb 0.534 0.718 0.816
Tb 0.098 0.282 0.816
Tb 0.902 0.718 0.184
Sn 0.000 0.000 0.000
Sn 0.000 0.500 0.500
```

Output
* formation energy from the elements: -0.37 eV/atom

=====

(3)
The following is a DFT calculation (GGA-PBE) of Dy3Er3Sc2 after structural relaxation. Values from VASP.

```
&SYSTEM
  ibrav = 0, nat = 8, ntyp = 3
/
ATOMIC_SPECIES
Dy 162.50 Dy.upf
Er 167.26 Er.upf
Sc 44.96 Sc.upf
CELL_PARAMETERS angstrom
4.896 0.000 0.000
0.000 4.903 0.000
0.000 0.000 9.750
ATOMIC_POSITIONS crystal
Dy 0.500 0.000 0.000
Dy 0.500 0.000 0.500
Dy 0.000 0.500 0.500
Er 0.000 0.500 0.000
Er 0.500 0.500 0.250
Er 0.500 0.500 0.750
Sc 0.000 0.000 0.249
Sc 0.000 0.000 0.751
```

Output
* formation energy from the elements: 0.04 eV/atom

=====

(4)
The following is a DFT calculation (GGA-PBE) of Zr2CoTe6 after structural relaxation. Values from VASP.

```
&SYSTEM
  ibrav = 0, nat = 18, ntyp = 3
/
ATOMIC_SPECIES
Co 58.93 Co.upf
Te 127.60 Te.upf
Zr 91.22 Zr.upf
CELL_PARAMETERS angstrom
-3.215 3.898 -4.891
-6.427 -1.620 2.933
0.389 7.613 5.059
ATOMIC_POSITIONS crystal
Co 0.500 0.500 0.000
Co 0.000 0.000 0.500
Te 0.669 0.167 0.562
Te 0.858 0.003 0.246
Te 0.642 0.503 0.254
Te 0.154 0.320 0.433
Te 0.346 0.820 0.067
Te 0.358 0.497 0.746
Te 0.169 0.333 0.062
Te 0.654 0.180 0.933
Te 0.846 0.680 0.567
Te 0.142 0.997 0.754
Te 0.331 0.833 0.438
Te 0.831 0.667 0.938
Zr 0.525 0.855 0.751
Zr 0.025 0.645 0.251
Zr 0.475 0.145 0.249
Zr 0.975 0.355 0.749
```

Output
* energy relative to the elements, uncorrected: -0.524 eV per atom

=====

(5)
The following is a DFT calculation (GGA-PBE) of Y2ZrAg after structural relaxation. Values from VASP.

```
&SYSTEM
  ibrav = 0, nat = 4, ntyp = 3
/
ATOMIC_SPECIES
Y 88.91 Y.upf
Zr 91.22 Zr.upf
Ag 107.87 Ag.upf
CELL_PARAMETERS angstrom
6.406 0.017 0.049
5.420 3.415 0.049
2.108 0.612 4.776
ATOMIC_POSITIONS crystal
Y 0.757 0.757 0.742
Y 0.972 0.972 0.029
Zr 0.530 0.530 0.472
Ag 0.241 0.241 0.257
```

Output
* formation energy from the elements: -0.05 eV/atom
* polymorph energy (0 for the lowest one): 0.27 eV per formula unit

=====

(6)
The following is a DFT calculation (GGA-PBE) of LaDyYSc after structural relaxation. Values from VASP.

```
&SYSTEM
  ibrav = 0, nat = 4, ntyp = 4
/
ATOMIC_SPECIES
Sc 44.96 Sc.upf
La 138.91 La.upf
Dy 162.50 Dy.upf
Y 88.91 Y.upf
CELL_PARAMETERS angstrom
3.617 0.000 0.000
0.000 5.670 0.000
0.000 0.000 6.128
ATOMIC_POSITIONS crystal
Sc 0.500 0.000 0.718
La 0.000 0.000 0.229
Dy 0.500 0.500 0.389
Y 0.000 0.500 0.878
```

Output
* formation energy from the elements: 0.05 eV/atom
* polymorph energy (0 for the lowest one): 0.00 eV per formula unit

=====

(7)
The following is a DFT calculation (GGA-PBE) of Ba4LaTc after structural relaxation. Values from VASP.

```
&SYSTEM
  ibrav = 0, nat = 6, ntyp = 3
/
ATOMIC_SPECIES
Ba 137.33 Ba.upf
Tc 98.00 Tc.upf
La 138.91 La.upf
CELL_PARAMETERS angstrom
0.000 5.126 5.126
5.126 0.000 5.126
5.126 5.126 0.000
ATOMIC_POSITIONS crystal
Ba 0.878 0.374 0.374
Ba 0.374 0.374 0.878
Ba 0.374 0.878 0.374
Ba 0.374 0.374 0.374
Tc 0.000 0.000 0.000
La 0.750 0.750 0.750
```

Output
* formation energy from the elements: 1.09 eV/atom

=====

(8)
The following is a DFT calculation (GGA-PBE) of NdGd3C after structural relaxation. Values from VASP.

```
&SYSTEM
  ibrav = 0, nat = 5, ntyp = 3
/
ATOMIC_SPECIES
Gd 157.25 Gd.upf
Nd 144.24 Nd.upf
C 12.01 C.upf
CELL_PARAMETERS angstrom
5.115 0.000 0.000
0.000 5.115 0.000
0.000 0.000 5.115
ATOMIC_POSITIONS crystal
Gd 0.500 0.000 0.000
Gd 0.000 0.000 0.500
Gd 0.000 0.500 0.000
Nd 0.500 0.500 0.500
C 0.000 0.000 0.000
```

Output
* formation energy from the elements: 0.02 eV/atom